VASP calculation (GGA+U) on V2OsPbO8 after structural relaxation.

POSCAR file:
```
V2OsPbO8
1.0
-0.237 0.715 5.557
0.950 -5.098 -2.133
6.749 1.203 0.133
Pb O V Os
1 8 2 1
direct
0.000 0.000 0.500
0.159 0.841 0.823
0.319 0.159 0.177
0.681 0.841 0.823
0.159 0.319 0.823
0.333 0.667 0.499
0.667 0.333 0.501
0.841 0.159 0.177
0.841 0.681 0.177
0.333 0.667 0.743
0.667 0.333 0.257
0.000 0.000 0.000
```

Calculated values
As for the density of states at the Fermi level: 3.55 states/eV/cell. The calculated total energy comes out at -87.167 eV for the cell shown.